(1)
DyYZn2Au4: optimized geometry, PBE.

Computed properties:
DFT formation energy: -0.638 eV/atom
SG: P4/mmm

Lattice parameters (Å, degrees): 4.8341 4.8341 6.8332 90.00 90.00 90.00
Closest atoms and distances in Å follow each position.
Element x y z (fractional)
Dy: 0.0000 0.0000 0.0000  8 Au 2.96
Y: 0.5000 0.5000 0.5000  8 Au 2.96
Zn: 0.0000 0.0000 0.5000  8 Au 2.96
Zn: 0.5000 0.5000 0.0000  8 Au 2.96
Au: 0.0000 0.5000 0.2494  4 Zn 2.96, 2 Dy 2.96, 2 Y 2.96
Au: 0.0000 0.5000 0.7506  4 Zn 2.96, 2 Dy 2.96, 2 Y 2.96
Au: 0.5000 0.0000 0.2494  4 Zn 2.96, 2 Dy 2.96, 2 Y 2.96
Au: 0.5000 0.0000 0.7506  4 Zn 2.96, 2 Dy 2.96, 2 Y 2.96



(2)
HfCoRePb: optimized geometry, PBE.

Computed properties:
E above lowest polymorph: 358 meV/atom
SG: F-43m

Lattice parameters (Å, degrees): 4.6405 4.6405 4.6405 60.00 60.00 60.00
Closest atoms and distances in Å follow each position.
Element x y z (fractional)
Hf: 0.0000 0.0000 0.0000  4 Pb 2.84, 4 Re 2.84
Co: 0.5000 0.5000 0.5000  4 Re 2.84, 4 Pb 2.84
Re: 0.7500 0.7500 0.7500  4 Co 2.84, 4 Hf 2.84
Pb: 0.2500 0.2500 0.2500  4 Co 2.84, 4 Hf 2.84



(3)
Cs2LaHoS4: optimized geometry, PBE.

Computed properties:
SG: P-3m1
VASP energy: -42.5 eV/f.u.

Lattice parameters (Å, degrees): 4.2098 4.2098 16.0812 90.00 90.00 120.00
Closest atoms and distances in Å follow each position.
Element x y z (fractional)
Cs: 0.3333 0.6667 0.2451  6 S 3.50-3.52
Cs: 0.6667 0.3333 0.7549  6 S 3.50-3.52
La: 0.0000 0.0000 0.5000  6 S 2.90
Ho: 0.0000 0.0000 0.0000  6 S 2.81
S: 0.3333 0.6667 0.5984  3 La 2.90
S: 0.3333 0.6667 0.9129  3 Ho 2.81
S: 0.6667 0.3333 0.0871  3 Ho 2.81
S: 0.6667 0.3333 0.4016  3 La 2.90